a | DFT (PBE) results for a geometry-optimized DySc2Ni structure.

Properties
ρ (g/cm³): 5.46
Fermi-level density of states (states/eV per cell): 4.5
Space-group type: No. 160

Unit cell a=8.660 b=8.660 c=8.660 alpha=24.03 beta=24.03 gamma=24.03
Sites, in units of the cell vectors:
Dy 0.000 0.000 0.000
Sc 0.227 0.227 0.227
Sc 0.444 0.444 0.444
Ni 0.836 0.836 0.836

b | DFT (PBE) results for a geometry-optimized DySc2Ni structure.

Properties
ρ (g/cm³): 5.81
Fermi-level density of states (states/eV per cell): 11.6
Space-group type: No. 63

Unit cell a=5.982 b=5.982 c=7.093 alpha=90.00 beta=90.00 gamma=135.55
Sites, in units of the cell vectors:
Dy 0.048 0.952 0.750
Dy 0.952 0.048 0.250
Sc 0.343 0.657 0.538
Sc 0.343 0.657 0.962
Sc 0.657 0.343 0.038
Sc 0.657 0.343 0.462
Ni 0.199 0.801 0.250
Ni 0.801 0.199 0.750

What is the least stable structure shown above? It is a.